# 1
# Sc2PaZn (PBE-GGA, relaxed)
data_Sc2PaZn
_chemical_formula_sum 'Sc6 Pa3 Zn3'
_space_group_name_H-M_alt 'R -3 m'
_space_group_IT_number 166
_space_group_name_Hall '-R 3 2"'
_cell_length_a 3.1182
_cell_length_b 3.1182
_cell_length_c 31.7271
_cell_angle_alpha 90.00
_cell_angle_beta 90.00
_cell_angle_gamma 120.00
loop_
_atom_site_label
_atom_site_type_symbol
_atom_site_fract_x
_atom_site_fract_y
_atom_site_fract_z
_atom_site_occupancy
Sc1 Sc 0.0000 0.0000 0.0957 1
Pa1 Pa 0.0000 0.0000 0.0000 1
Zn1 Zn 0.0000 0.0000 0.5000 1
# * energy relative to the lowest polymorph listed for this composition: 0.233 eV/atom
# * raw total energy: -23.0 eV per formula unit
# * ΔE_f: 10.8 kJ/mol of atoms
# * magnetic moment: 0.0 μB per cell
# * volume: 22.26 A^3/atom

=====

# 2
# ScPa2Zn16 (PBE-GGA, relaxed)
data_ScPa2Zn16
_chemical_formula_sum 'Sc3 Pa6 Zn48'
_space_group_name_H-M_alt 'R 3 m'
_space_group_IT_number 160
_space_group_name_Hall 'R 3 -2"'
_cell_length_a 9.0299
_cell_length_b 9.0299
_cell_length_c 13.3801
_cell_angle_alpha 90.00
_cell_angle_beta 90.00
_cell_angle_gamma 120.00
loop_
_atom_site_label
_atom_site_type_symbol
_atom_site_fract_x
_atom_site_fract_y
_atom_site_fract_z
_atom_site_occupancy
Sc1 Sc 0.0000 0.0000 0.0000 1
Pa1 Pa 0.0000 0.0000 0.4360 1
Pa2 Pa 0.0000 0.0000 0.7538 1
Zn1 Zn 0.0000 0.0000 0.2112 1
Zn2 Zn 0.0007 0.2982 0.0906 1
Zn3 Zn 0.0033 0.5016 0.2374 1
Zn4 Zn 0.1688 0.3376 0.9233 1
Zn5 Zn 0.1745 0.3490 0.2736 1
# * raw total energy: -47.9 eV per formula unit
# * ΔE_f: -11.3 kJ/mol of atoms
# * magnetic moment: 0.6 μB per cell
# * volume: 16.58 A^3/atom

=====

# 3
# ScPa2Zn (PBE-GGA, relaxed)
data_ScPa2Zn
_chemical_formula_sum 'Sc3 Pa6 Zn3'
_space_group_name_H-M_alt 'R -3 m'
_space_group_IT_number 166
_space_group_name_Hall '-R 3 2"'
_cell_length_a 3.0987
_cell_length_b 3.0987
_cell_length_c 35.0113
_cell_angle_alpha 90.00
_cell_angle_beta 90.00
_cell_angle_gamma 120.00
loop_
_atom_site_label
_atom_site_type_symbol
_atom_site_fract_x
_atom_site_fract_y
_atom_site_fract_z
_atom_site_occupancy
Sc1 Sc 0.0000 0.0000 0.0000 1
Pa1 Pa 0.0000 0.0000 0.4131 1
Zn1 Zn 0.0000 0.0000 0.5000 1
# * raw total energy: -25.3 eV per formula unit
# * ΔE_f: 31.1 kJ/mol of atoms
# * magnetic moment: 0.0 μB per cell
# * volume: 24.26 A^3/atom

=====

# 4
# Sc5PaZn4 (PBE-GGA, relaxed)
data_Sc5PaZn4
_chemical_formula_sum 'Sc5 Pa1 Zn4'
_space_group_name_H-M_alt 'P 4/m m m'
_space_group_IT_number 123
_space_group_name_Hall '-P 4 2'
_cell_length_a 3.3203
_cell_length_b 3.3203
_cell_length_c 18.0625
_cell_angle_alpha 90.00
_cell_angle_beta 90.00
_cell_angle_gamma 90.00
loop_
_atom_site_label
_atom_site_type_symbol
_atom_site_fract_x
_atom_site_fract_y
_atom_site_fract_z
_atom_site_occupancy
Sc1 Sc 0.0000 0.0000 0.0000 1
Sc2 Sc 0.0000 0.0000 0.1854 1
Sc3 Sc 0.0000 0.0000 0.3743 1
Pa1 Pa 0.5000 0.5000 0.5000 1
Zn1 Zn 0.5000 0.5000 0.0926 1
Zn2 Zn 0.5000 0.5000 0.2801 1
# * raw total energy: -48.9 eV per formula unit
# * ΔE_f: -25.9 kJ/mol of atoms
# * magnetic moment: 0.0 μB per cell
# * volume: 19.91 A^3/atom

=====

# 5
# ScPaZn17 (PBE-GGA, relaxed)
data_ScPaZn17
_chemical_formula_sum 'Sc3 Pa3 Zn51'
_space_group_name_H-M_alt 'R 3 m'
_space_group_IT_number 160
_space_group_name_Hall 'R 3 -2"'
_cell_length_a 8.9291
_cell_length_b 8.9291
_cell_length_c 13.0925
_cell_angle_alpha 90.00
_cell_angle_beta 90.00
_cell_angle_gamma 120.00
loop_
_atom_site_label
_atom_site_type_symbol
_atom_site_fract_x
_atom_site_fract_y
_atom_site_fract_z
_atom_site_occupancy
Sc1 Sc 0.0000 0.0000 0.0000 1
Pa1 Pa 0.0000 0.0000 0.6709 1
Zn1 Zn 0.0000 0.0000 0.2311 1
Zn2 Zn 0.0000 0.0000 0.4328 1
Zn3 Zn 0.0061 0.5030 0.4847 1
Zn4 Zn 0.0359 0.3661 0.0013 1
Zn5 Zn 0.1700 0.3401 0.1702 1
Zn6 Zn 0.1743 0.3486 0.5163 1
# * raw total energy: -40.0 eV per formula unit
# * ΔE_f: -12.9 kJ/mol of atoms
# * magnetic moment: 3.0 μB per cell
# * volume: 15.86 A^3/atom

=====

# 6
# ScPaZn (PBE-GGA, relaxed)
data_ScPaZn
_chemical_formula_sum 'Sc1 Pa1 Zn1'
_space_group_name_H-M_alt 'P 3 m 1'
_space_group_IT_number 156
_cell_length_a 4.9368
_cell_length_b 4.9368
_cell_length_c 3.1364
_cell_angle_alpha 90.00
_cell_angle_beta 90.00
_cell_angle_gamma 120.00
loop_
_space_group_symop_operation_xyz
'x,y,z'
'-y,x-y,z'
'-x+y,-x,z'
'-y,-x,z'
'-x+y,y,z'
'x,x-y,z'
loop_
_atom_site_label
_atom_site_type_symbol
_atom_site_fract_x
_atom_site_fract_y
_atom_site_fract_z
_atom_site_occupancy
Sc1 Sc 0.0000 0.0000 0.0000 1
Pa1 Pa 0.3333 0.6667 0.4783 1
Zn1 Zn 0.6667 0.3333 0.9304 1
# * energy relative to the lowest polymorph listed for this composition: 0.260 eV/atom
# * raw total energy: -16.7 eV per formula unit
# * ΔE_f: 12.8 kJ/mol of atoms
# * magnetic moment: 1.3 μB per cell
# * volume: 22.07 A^3/atom

=====

# 7
# ScPaZn (PBE-GGA, relaxed)
data_ScPaZn
_chemical_formula_sum 'Sc4 Pa4 Zn4'
_space_group_name_H-M_alt 'C m c m'
_space_group_IT_number 63
_space_group_name_Hall '-C 2c 2'
_cell_length_a 3.1572
_cell_length_b 16.3197
_cell_length_c 4.9942
_cell_angle_alpha 90.00
_cell_angle_beta 90.00
_cell_angle_gamma 90.00
loop_
_atom_site_label
_atom_site_type_symbol
_atom_site_fract_x
_atom_site_fract_y
_atom_site_fract_z
_atom_site_occupancy
Sc1 Sc 0.0000 0.0812 0.2500 1
Pa1 Pa 0.0000 0.2301 0.7500 1
Zn1 Zn 0.0000 0.4338 0.2500 1
# * energy relative to the lowest polymorph listed for this composition: 0.000 eV/atom
# * raw total energy: -17.5 eV per formula unit
# * ΔE_f: -12.3 kJ/mol of atoms
# * magnetic moment: 0.0 μB per cell
# * volume: 21.44 A^3/atom

=====

# 8
# Zr2Sc4Pa (PBE-GGA, relaxed)
data_Zr2Sc4Pa
_chemical_formula_sum 'Zr4 Sc8 Pa2'
_space_group_name_H-M_alt 'C 1 m 1'
_space_group_IT_number 8
_cell_length_a 5.5992
_cell_length_b 3.2307
_cell_length_c 18.5504
_cell_angle_alpha 90.00
_cell_angle_beta 95.83
_cell_angle_gamma 90.00
loop_
_space_group_symop_operation_xyz
'x,y,z'
'x,-y,z'
'x+1/2,y+1/2,z'
'x+1/2,-y+1/2,z'
loop_
_atom_site_label
_atom_site_type_symbol
_atom_site_fract_x
_atom_site_fract_y
_atom_site_fract_z
_atom_site_occupancy
Zr1 Zr 0.0000 0.0000 0.0000 1
Zr2 Zr 0.0938 0.0000 0.2818 1
Sc1 Sc 0.1910 0.0000 0.5665 1
Sc2 Sc 0.2136 0.5000 0.1390 1
Sc3 Sc 0.2895 0.0000 0.8591 1
Sc4 Sc 0.3079 0.5000 0.4190 1
Pa1 Pa 0.4094 0.5000 0.7115 1
# * raw total energy: -51.8 eV per formula unit
# * ΔE_f: 1.2 kJ/mol of atoms
# * magnetic moment: 0.0 μB per cell
# * volume: 23.84 A^3/atom

=====

# 9
# Zr2ScPa (PBE-GGA, relaxed)
data_Zr2ScPa
_chemical_formula_sum 'Zr2 Sc1 Pa1'
_space_group_name_H-M_alt 'P 4/m m m'
_space_group_IT_number 123
_space_group_name_Hall '-P 4 2'
_cell_length_a 3.7948
_cell_length_b 3.7948
_cell_length_c 6.6972
_cell_angle_alpha 90.00
_cell_angle_beta 90.00
_cell_angle_gamma 90.00
loop_
_atom_site_label
_atom_site_type_symbol
_atom_site_fract_x
_atom_site_fract_y
_atom_site_fract_z
_atom_site_occupancy
Zr1 Zr 0.0000 0.0000 0.2247 1
Sc1 Sc 0.5000 0.5000 0.5000 1
Pa1 Pa 0.5000 0.5000 0.0000 1
# * energy relative to the lowest polymorph listed for this composition: 0.059 eV/atom
# * raw total energy: -32.5 eV per formula unit
# * ΔE_f: 9.8 kJ/mol of atoms
# * magnetic moment: 0.0 μB per cell
# * volume: 24.11 A^3/atom

=====

# 10
# Zr2Sc3Pa (PBE-GGA, relaxed)
data_Zr2Sc3Pa
_chemical_formula_sum 'Zr4 Sc6 Pa2'
_space_group_name_H-M_alt 'P -1'
_space_group_IT_number 2
_cell_length_a 3.1658
_cell_length_b 7.9048
_cell_length_c 11.9283
_cell_angle_alpha 103.73
_cell_angle_beta 95.42
_cell_angle_gamma 93.29
loop_
_space_group_symop_operation_xyz
'x,y,z'
'-x,-y,-z'
loop_
_atom_site_label
_atom_site_type_symbol
_atom_site_fract_x
_atom_site_fract_y
_atom_site_fract_z
_atom_site_occupancy
Zr1 Zr 0.1547 0.0260 0.3837 1
Zr2 Zr 0.3249 0.6463 0.6993 1
Sc1 Sc 0.0004 0.3466 0.0582 1
Sc2 Sc 0.2885 0.0163 0.1216 1
Sc3 Sc 0.3705 0.3076 0.8016 1
Pa1 Pa 0.2682 0.6690 0.4466 1
# * raw total energy: -45.2 eV per formula unit
# * ΔE_f: 6.6 kJ/mol of atoms
# * magnetic moment: 0.0 μB per cell
# * volume: 23.97 A^3/atom

=====

# 11
# Zr2ScPa (PBE-GGA, relaxed)
data_Zr2ScPa
_chemical_formula_sum 'Zr2 Sc1 Pa1'
_space_group_name_H-M_alt 'P 3 m 1'
_space_group_IT_number 156
_cell_length_a 3.2054
_cell_length_b 3.2054
_cell_length_c 10.9444
_cell_angle_alpha 90.00
_cell_angle_beta 90.00
_cell_angle_gamma 120.00
loop_
_space_group_symop_operation_xyz
'x,y,z'
'-y,x-y,z'
'-x+y,-x,z'
'-y,-x,z'
'-x+y,y,z'
'x,x-y,z'
loop_
_atom_site_label
_atom_site_type_symbol
_atom_site_fract_x
_atom_site_fract_y
_atom_site_fract_z
_atom_site_occupancy
Zr1 Zr 0.0000 0.0000 0.0000 1
Zr2 Zr 0.3333 0.6667 0.5032 1
Sc1 Sc 0.0000 0.0000 0.2732 1
Pa1 Pa 0.6667 0.3333 0.7556 1
# * energy relative to the lowest polymorph listed for this composition: 0.099 eV/atom
# * raw total energy: -32.4 eV per formula unit
# * ΔE_f: 13.6 kJ/mol of atoms
# * magnetic moment: 0.0 μB per cell
# * volume: 24.35 A^3/atom

=====

# 12
# Zr6Sc8Pa (PBE-GGA, relaxed)
data_Zr6Sc8Pa
_chemical_formula_sum 'Zr6 Sc8 Pa1'
_space_group_name_H-M_alt 'P -3'
_space_group_IT_number 147
_cell_length_a 11.3192
_cell_length_b 11.3192
_cell_length_c 3.3038
_cell_angle_alpha 90.00
_cell_angle_beta 90.00
_cell_angle_gamma 120.00
loop_
_space_group_symop_operation_xyz
'x,y,z'
'-x,-y,-z'
'-y,x-y,z'
'y,-x+y,-z'
'-x+y,-x,z'
'x-y,x,-z'
loop_
_atom_site_label
_atom_site_type_symbol
_atom_site_fract_x
_atom_site_fract_y
_atom_site_fract_z
_atom_site_occupancy
Zr1 Zr 0.1008 0.6064 0.1645 1
Sc1 Sc 0.1048 0.3250 0.4926 1
Sc2 Sc 0.3333 0.6667 0.6672 1
Pa1 Pa 0.0000 0.0000 0.0000 1
# * raw total energy: -107.6 eV per formula unit
# * ΔE_f: 24.7 kJ/mol of atoms
# * magnetic moment: 1.0 μB per cell
# * volume: 24.44 A^3/atom

=====

What is the magnetic moment in the twelfth record?
1.0 μB per cell

=====

volume of number 4 (Sc5PaZn4)?
19.91 A^3/atom

=====

Repeat the tenth record exactly.
# Zr2Sc3Pa (PBE-GGA, relaxed)
data_Zr2Sc3Pa
_chemical_formula_sum 'Zr4 Sc6 Pa2'
_space_group_name_H-M_alt 'P -1'
_space_group_IT_number 2
_cell_length_a 3.1658
_cell_length_b 7.9048
_cell_length_c 11.9283
_cell_angle_alpha 103.73
_cell_angle_beta 95.42
_cell_angle_gamma 93.29
loop_
_space_group_symop_operation_xyz
'x,y,z'
'-x,-y,-z'
loop_
_atom_site_label
_atom_site_type_symbol
_atom_site_fract_x
_atom_site_fract_y
_atom_site_fract_z
_atom_site_occupancy
Zr1 Zr 0.1547 0.0260 0.3837 1
Zr2 Zr 0.3249 0.6463 0.6993 1
Sc1 Sc 0.0004 0.3466 0.0582 1
Sc2 Sc 0.2885 0.0163 0.1216 1
Sc3 Sc 0.3705 0.3076 0.8016 1
Pa1 Pa 0.2682 0.6690 0.4466 1
# * raw total energy: -45.2 eV per formula unit
# * ΔE_f: 6.6 kJ/mol of atoms
# * magnetic moment: 0.0 μB per cell
# * volume: 23.97 A^3/atom